Density functional theory data (SCAN) for K2ReRh at its PBEsol-relaxed geometry.

```
K2ReRh
1.0
-2.230 -4.169 -0.995
-1.409 -2.904 3.595
-4.702 -0.520 0.985
Re K Rh
1 2 1
Cartesian
-4.170 -3.796 1.793
-6.255 -5.694 2.689
0.000 0.000 0.000
-2.085 -1.898 0.896
```

## Properties
SG	No. 216
ΔE_f	1625	meV/atom
DOS(E_F)	4.56	states/eV/f.u.
E above lowest polymorph	0.896	eV/atom